A plane-wave DFT calculation with GGA-PBE was carried out for an optimized crystal structure of TmCoB3.

The structure belongs to space group Cmcm (No. 63); the cell edges are 3.499, 18.509 and 3.124 Å and the angles 90.00°, 90.00° and 90.00°. Symmetry generates all atoms from Tm at (0.000, 0.080, 0.250), Co at (0.000, 0.209, 0.750), B at (0.000, 0.317, 0.750), B at (0.000, 0.363, 0.250) and B at (0.000, 0.477, 0.250).

The energy is -0.247 hartree per atom. The energy relative to the lowest polymorph listed for this composition comes out at 0 meV/atom. The calculation puts the density of states at the Fermi level at 12.29 states/eV per cell. The value obtained for the calculated density is 8.5 g/cm³. The calculation puts the formation energy from the elements at -0.391 eV/atom.

A plane-wave DFT calculation with GGA-PBE was carried out for an optimized crystal structure of TmCoB2.

The structure belongs to space group R-3m (No. 166, hexagonal axes); the cell edges are 3.4436, 3.4436 and 13.6330 Å and the angles 90.00°, 90.00° and 120.00°. Symmetry generates all atoms from Tm at (0.0000, 0.0000, 0.0000), Co at (0.0000, 0.0000, 0.5000) and B at (0.0000, 0.0000, 0.1961).

The energy is -0.244 hartree per atom. The energy relative to the lowest polymorph listed for this composition comes out at 168 meV/atom. The calculation puts the density of states at the Fermi level at 7.48 states/eV per cell. The value obtained for the calculated density is 8.9 g/cm³. The calculation puts the formation energy from the elements at -0.414 eV/atom.

A plane-wave DFT calculation with GGA-PBE was carried out for an optimized crystal structure of Tm2Co12B7.

The structure belongs to space group P-6 (No. 174); the cell edges are 8.4176, 8.4176 and 3.3824 Å and the angles 90.00°, 90.00° and 120.00°. Symmetry generates all atoms from Tm at (0.0000, 0.0000, 0.0000), Tm at (0.3333, 0.6667, 0.5000), Co at (0.0548, 0.2880, 0.5000), Co at (0.0921, 0.7030, 0.0000), Co at (0.3959, 0.1779, 0.0000), Co at (0.5481, 0.4272, 0.5000), B at (0.0726, 0.4406, 0.0000), B at (0.2760, 0.2286, 0.5000) and B at (0.6667, 0.3333, 0.0000).

The energy is -0.260 hartree per atom. The calculation puts the density of states at the Fermi level at 21.24 states/eV per cell. The value obtained for the calculated density is 9.0 g/cm³. The calculation puts the formation energy from the elements at -0.360 eV/atom.

Repeat the first record exactly.
A plane-wave DFT calculation with GGA-PBE was carried out for an optimized crystal structure of TmCoB3.

The structure belongs to space group Cmcm (No. 63); the cell edges are 3.499, 18.509 and 3.124 Å and the angles 90.00°, 90.00° and 90.00°. Symmetry generates all atoms from Tm at (0.000, 0.080, 0.250), Co at (0.000, 0.209, 0.750), B at (0.000, 0.317, 0.750), B at (0.000, 0.363, 0.250) and B at (0.000, 0.477, 0.250).

The energy is -0.247 hartree per atom. The energy relative to the lowest polymorph listed for this composition comes out at 0 meV/atom. The calculation puts the density of states at the Fermi level at 12.29 states/eV per cell. The value obtained for the calculated density is 8.5 g/cm³. The calculation puts the formation energy from the elements at -0.391 eV/atom.

Copy entry 1 word for word.
A plane-wave DFT calculation with GGA-PBE was carried out for an optimized crystal structure of TmCoB3.

The structure belongs to space group Cmcm (No. 63); the cell edges are 3.499, 18.509 and 3.124 Å and the angles 90.00°, 90.00° and 90.00°. Symmetry generates all atoms from Tm at (0.000, 0.080, 0.250), Co at (0.000, 0.209, 0.750), B at (0.000, 0.317, 0.750), B at (0.000, 0.363, 0.250) and B at (0.000, 0.477, 0.250).

The energy is -0.247 hartree per atom. The energy relative to the lowest polymorph listed for this composition comes out at 0 meV/atom. The calculation puts the density of states at the Fermi level at 12.29 states/eV per cell. The value obtained for the calculated density is 8.5 g/cm³. The calculation puts the formation energy from the elements at -0.391 eV/atom.

Among the records above, which one has the lowest calculated density? TmCoB3

Repeat the third record exactly.
A plane-wave DFT calculation with GGA-PBE was carried out for an optimized crystal structure of Tm2Co12B7.

The structure belongs to space group P-6 (No. 174); the cell edges are 8.4176, 8.4176 and 3.3824 Å and the angles 90.00°, 90.00° and 120.00°. Symmetry generates all atoms from Tm at (0.0000, 0.0000, 0.0000), Tm at (0.3333, 0.6667, 0.5000), Co at (0.0548, 0.2880, 0.5000), Co at (0.0921, 0.7030, 0.0000), Co at (0.3959, 0.1779, 0.0000), Co at (0.5481, 0.4272, 0.5000), B at (0.0726, 0.4406, 0.0000), B at (0.2760, 0.2286, 0.5000) and B at (0.6667, 0.3333, 0.0000).

The energy is -0.260 hartree per atom. The calculation puts the density of states at the Fermi level at 21.24 states/eV per cell. The value obtained for the calculated density is 9.0 g/cm³. The calculation puts the formation energy from the elements at -0.360 eV/atom.